No. 1
A plane-wave DFT calculation with PBE-GGA was carried out for Ni2TeBr after structural relaxation.

Values from the calculation:
Total DFT energy (no corrections), eV per atom: -3.785
Space-group type: Immm, No. 71
E above lowest polymorph, kJ/mol of formula units: 153.2
Uncorrected formation energy, kcal/mol of atoms: 7.14

abc: 5.5334 5.5334 5.5334
angles: 143.79 97.46 93.63
Closest atoms and distances in Å follow each position.
Fractional coordinates of all 4 atoms:
Ni 0.2432 0.0000 0.2432  2 Te 2.47, 2 Br 2.54
Ni 0.7568 0.0000 0.7568  2 Te 2.47, 2 Br 2.54
Te 0.0000 0.5000 0.5000  4 Ni 2.47
Br 0.5000 0.5000 0.0000  4 Ni 2.54



No. 2
A plane-wave DFT calculation with PBE-GGA was carried out for Cs2SnH12N6 after structural relaxation.

Values from the calculation:
Total DFT energy (no corrections), eV per atom: -4.889
Space-group type: P-3, No. 147

abc: 7.1952 7.1952 5.9278
angles: 90.00 90.00 120.00
Closest atoms and distances in Å follow each position.
Fractional coordinates of all 21 atoms:
Cs 0.3333 0.6667 0.1940  9 H 3.07-3.26, 6 N 3.20-3.38
Cs 0.6667 0.3333 0.8060  9 H 3.07-3.26, 6 N 3.20-3.38
Sn 0.0000 0.0000 0.0000  6 N 2.22
H 0.0393 0.2372 0.6290  1 N 1.03
H 0.1268 0.7480 0.7805  1 N 1.03
H 0.1979 0.9607 0.6290  1 N 1.03
H 0.2372 0.1979 0.3710  1 N 1.03
H 0.2520 0.3787 0.7805  1 N 1.03
H 0.3787 0.1268 0.2195  1 N 1.03
H 0.6213 0.8732 0.7805  1 N 1.03
H 0.7480 0.6213 0.2195  1 N 1.03
H 0.7628 0.8021 0.6290  1 N 1.03
H 0.8021 0.0393 0.3710  1 N 1.03
H 0.8732 0.2520 0.2195  1 N 1.03
H 0.9607 0.7628 0.3710  1 N 1.03
N 0.0877 0.2888 0.7913  2 H 1.03
N 0.2011 0.9123 0.7913  2 H 1.03
N 0.2888 0.2011 0.2087  2 H 1.03
N 0.7112 0.7989 0.7913  2 H 1.03
N 0.7989 0.0877 0.2087  2 H 1.03
N 0.9123 0.7112 0.2087  2 H 1.03



No. 3
A plane-wave DFT calculation with PBE-GGA was carried out for Zr2VH2 after structural relaxation.

Values from the calculation:
Total DFT energy (no corrections), eV per atom: -6.777
Space-group type: I4/mmm, No. 139

abc: 6.5225 6.5225 6.5225
angles: 150.83 150.83 41.73
Closest atoms and distances in Å follow each position.
Fractional coordinates of all 5 atoms:
Zr 0.1401 0.1401 0.0000  4 H 2.12
Zr 0.8599 0.8599 0.0000  4 H 2.12
V 0.5000 0.5000 0.0000  8 Zr 2.88
H 0.2500 0.7500 0.5000  4 Zr 2.12, 4 H 2.32
H 0.7500 0.2500 0.5000  4 Zr 2.12, 4 H 2.32



No. 4
A plane-wave DFT calculation with PBE-GGA was carried out for Ce4IrRu2 after structural relaxation.

Values from the calculation:
Calculated formation energy, eV/atom: -0.38
Total DFT energy (no corrections), eV per atom: -7.692
Space-group type: C2/m, No. 12
E above lowest polymorph, kJ/mol of formula units: 49.0

abc: 7.2516 7.2516 6.9770
angles: 118.44 118.44 33.79
Closest atoms and distances in Å follow each position.
Fractional coordinates of all 7 atoms:
Ce 0.1214 0.1214 0.2996  3 Ru 2.75-2.85, 2 Ir 2.85
Ce 0.3642 0.3642 0.2080  3 Ru 2.76-2.78, 1 Ir 2.90
Ce 0.6358 0.6358 0.7920  3 Ru 2.76-2.78, 1 Ir 2.90
Ce 0.8786 0.8786 0.7004  3 Ru 2.75-2.85, 2 Ir 2.85
Ir 0.5000 0.5000 0.0000  6 Ce 2.85-2.90, 2 Ru 2.94
Ru 0.2555 0.2555 0.7521  6 Ce 2.75-2.85, 1 Ir 2.94
Ru 0.7445 0.7445 0.2479  6 Ce 2.75-2.85, 1 Ir 2.94



No. 5
A plane-wave DFT calculation with PBE-GGA was carried out for KNb2OsC after structural relaxation.

Values from the calculation:
Calculated formation energy, eV/atom: 2.42
Total DFT energy (no corrections), eV per atom: -5.917
Space-group type: P4/mmm, No. 123

abc: 4.7965 4.7965 6.4622
angles: 90.00 90.00 90.00
Closest atoms and distances in Å follow each position.
Fractional coordinates of all 5 atoms:
K 0.0000 0.0000 0.0000  2 Os 3.23, 4 C 3.39
Nb 0.0000 0.5000 0.5000  2 Os 2.40
Nb 0.5000 0.0000 0.5000  2 Os 2.40
Os 0.0000 0.0000 0.5000  4 Nb 2.40
C 0.5000 0.5000 0.0000  4 K 3.39



No. 6
A plane-wave DFT calculation with PBE-GGA was carried out for Ce6AgC3 after structural relaxation.

Values from the calculation:
Calculated formation energy, eV/atom: -0.11
Total DFT energy (no corrections), eV per atom: -6.725
Space-group type: P2_1/m, No. 11

abc: 10.9276 3.4651 11.0255
angles: 90.00 102.04 90.00
Closest atoms and distances in Å follow each position.
Fractional coordinates of all 20 atoms:
Ce 0.0514 0.2500 0.2630  2 C 2.46
Ce 0.1455 0.7500 0.0269  3 C 2.47-2.62
Ce 0.2643 0.2500 0.7977  3 C 2.44-2.50
Ce 0.2748 0.7500 0.3256  2 C 2.43
Ce 0.4000 0.2500 0.5866  3 C 2.49-2.52
Ce 0.4373 0.2500 0.1186  4 C 2.52-2.75
Ce 0.5627 0.7500 0.8814  4 C 2.52-2.75
Ce 0.6000 0.7500 0.4134  3 C 2.49-2.52
Ce 0.7252 0.2500 0.6744  2 C 2.43
Ce 0.7357 0.7500 0.2023  3 C 2.44-2.50
Ce 0.8545 0.2500 0.9731  3 C 2.47-2.62
Ce 0.9486 0.7500 0.7370  2 C 2.46
Ag 0.1143 0.7500 0.5345  2 Ag 3.00, 2 Ce 3.15-3.17
Ag 0.8857 0.2500 0.4655  2 Ag 3.00, 2 Ce 3.15-3.17
C 0.0676 0.2500 0.8701  5 Ce 2.44-2.47
C 0.3580 0.7500 0.9523  6 Ce 2.50-2.62
C 0.4335 0.2500 0.3671  5 Ce 2.43-2.52
C 0.5665 0.7500 0.6329  5 Ce 2.43-2.52
C 0.6420 0.2500 0.0477  6 Ce 2.50-2.62
C 0.9324 0.7500 0.1299  5 Ce 2.44-2.47



Q: total DFT energy (no corrections) of number 2 (Cs2SnH12N6)?
A: -4.889 eV per atom



Copy entry 1 word for word.
A plane-wave DFT calculation with PBE-GGA was carried out for Ni2TeBr after structural relaxation.

Values from the calculation:
Total DFT energy (no corrections), eV per atom: -3.785
Space-group type: Immm, No. 71
E above lowest polymorph, kJ/mol of formula units: 153.2
Uncorrected formation energy, kcal/mol of atoms: 7.14

abc: 5.5334 5.5334 5.5334
angles: 143.79 97.46 93.63
Closest atoms and distances in Å follow each position.
Fractional coordinates of all 4 atoms:
Ni 0.2432 0.0000 0.2432  2 Te 2.47, 2 Br 2.54
Ni 0.7568 0.0000 0.7568  2 Te 2.47, 2 Br 2.54
Te 0.0000 0.5000 0.5000  4 Ni 2.47
Br 0.5000 0.5000 0.0000  4 Ni 2.54